Record 1
Here is an optimized crystal structure of VBPtCl2 from the Alexandria database. Energies are from PBE.

Cell and atoms, written as POSCAR:
```
VBPtCl2
1.0
4.0327 0.0000 0.0000
0.0000 4.0327 0.0000
0.0000 0.0000 4.8294
V B Pt Cl
1 1 1 2
Cartesian
0.0000 0.0000 0.0000 V
0.0000 0.0000 2.4147 B
2.0163 2.0163 0.0000 Pt
0.0000 2.0163 2.4147 Cl
2.0163 0.0000 2.4147 Cl
```

Values from the calculation:
The mass density is 6.9 g cm⁻³. For the uncorrected formation energy, the calculation gives 1.0769 eV per atom.

---

Record 2
Here is an optimized crystal structure of YAgSe2Br from the Alexandria database. Energies are from PBE.

Cell and atoms, written as POSCAR:
```
YAgSe2Br
1.0
5.4844 0.0000 0.0000
0.0000 5.4844 0.0000
0.0000 0.0000 5.5584
Y Ag Se Br
1 1 2 1
Cartesian
0.0000 0.0000 0.0000 Y
2.7422 2.7422 2.7792 Ag
0.0000 2.7422 0.0000 Se
2.7422 0.0000 0.0000 Se
0.0000 0.0000 2.7792 Br
```

Values from the calculation:
The mass density is 4.3 g cm⁻³. The energy above the most stable polymorph in this dataset is 0.0 meV per atom. For the uncorrected formation energy, the calculation gives -0.5443 eV per atom.

---

Record 3
Here is an optimized crystal structure of LiTcPt2 from the Alexandria database. Energies are from PBE.

Cell and atoms, written as POSCAR:
```
LiTcPt2
1.0
1.3720 0.7921 8.9966
-1.3720 0.7921 8.9966
0.0000 -1.5842 8.9966
Li Tc Pt
1 1 2
Cartesian
0.0000 0.0000 0.0000 Li
0.0000 0.0000 13.4948 Tc
0.0000 0.0000 6.7869 Pt
0.0000 0.0000 20.2028 Pt
```

Values from the calculation:
The mass density is 14.0 g cm⁻³. The value obtained for the energy of formation is -0.227 eV/atom. The energy above the most stable polymorph in this dataset is 113.3 meV per atom.

---

Record 4
Here is an optimized crystal structure of K5OsO5 from the Alexandria database. Energies are from PBE.

Cell and atoms, written as POSCAR:
```
K5OsO5
1.0
5.8852 -2.6076 0.0000
5.8852 2.6076 0.0000
-2.2839 0.0000 6.7669
K Os O
5 1 5
Cartesian
0.0000 0.0000 0.0000 K
3.2916 0.0000 1.3519 K
2.3945 0.0000 4.4141 K
7.0921 0.0000 2.3529 K
6.1950 0.0000 5.4150 K
-1.1420 0.0000 3.3835 Os
0.5899 0.0000 2.4920 O
-0.2516 0.0000 5.1313 O
4.7433 0.0000 3.3835 O
9.7382 0.0000 1.6357 O
8.8966 0.0000 4.2749 O
```

Values from the calculation:
The mass density is 3.7 g cm⁻³. For the uncorrected formation energy, the calculation gives -1.1203 eV per atom.

---

Record 5
Here is an optimized crystal structure of SrPd2Pb from the Alexandria database. Energies are from PBE.

Cell and atoms, written as POSCAR:
```
SrPd2Pb
1.0
2.3805 1.3744 5.1311
-2.3805 1.3744 5.1311
0.0000 -2.7488 5.1311
Sr Pd Pb
1 2 1
Cartesian
0.0000 0.0000 0.0000 Sr
0.0000 0.0000 3.0990 Pd
0.0000 0.0000 12.2943 Pd
0.0000 0.0000 7.6966 Pb
```

Values from the calculation:
The mass density is 8.4 g cm⁻³. The value obtained for the energy of formation is -0.520 eV/atom.

---

Record 6
Here is an optimized crystal structure of HoCuBi2Se5 from the Alexandria database. Energies are from PBE.

Cell and atoms, written as POSCAR:
```
HoCuBi2Se5
1.0
2.0504 -9.7440 0.0000
2.0504 9.7440 0.0000
0.0000 0.0000 12.9098
Ho Cu Bi Se
2 2 4 10
Cartesian
2.0504 5.9271 6.4549 Ho
2.0504 -5.9271 0.0000 Ho
2.0504 1.4921 12.1727 Cu
2.0504 -1.4921 5.7178 Cu
2.0504 8.1503 9.6217 Bi
2.0504 6.6917 2.1631 Bi
2.0504 -6.6917 8.6180 Bi
2.0504 -8.1503 3.1668 Bi
2.0504 8.7855 6.9441 Se
2.0504 3.9315 2.0516 Se
2.0504 3.6812 10.9956 Se
2.0504 3.0282 6.6757 Se
2.0504 0.2696 10.0450 Se
2.0504 -0.2696 3.5901 Se
2.0504 -3.0282 0.2208 Se
2.0504 -3.6812 4.5407 Se
2.0504 -3.9315 8.5065 Se
2.0504 -8.7855 0.4892 Se
```

Values from the calculation:
The mass density is 6.7 g cm⁻³. For the uncorrected formation energy, the calculation gives -0.7222 eV per atom.